(1)
First-principles (PBE) data for a relaxed Li3SmU3Te8 crystal, as listed in Alexandria.

Properties
The calculation puts the magnetization at 8.00 μB/f.u. Its space group is R-3m (166). As for the calculated total energy: -5.50 eV per atom. Its formation energy (no corrections) is -0.867 eV per atom.

Lattice parameters (Å, degrees): 8.7001 8.7001 8.7001 59.87 59.87 59.87
Positions (direct):
Li 0.0000 0.5000 0.5000
Li 0.5000 0.0000 0.5000
Li 0.5000 0.5000 0.0000
Sm 0.5000 0.5000 0.5000
U 0.0000 0.0000 0.5000
U 0.0000 0.5000 0.0000
U 0.5000 0.0000 0.0000
Te 0.2447 0.2447 0.7531
Te 0.2447 0.7531 0.2447
Te 0.2469 0.7553 0.7553
Te 0.2534 0.2534 0.2534
Te 0.7466 0.7466 0.7466
Te 0.7531 0.2447 0.2447
Te 0.7553 0.2469 0.7553
Te 0.7553 0.7553 0.2469

(2)
First-principles (PBE) data for a relaxed AgTePt2 crystal, as listed in Alexandria.

Properties
The calculation puts the magnetization at 0.00 μB/f.u. Its space group is Amm2 (38). As for the calculated total energy: -4.52 eV per atom. Its formation energy (no corrections) is -0.002 eV per atom.

Lattice parameters (Å, degrees): 3.9271 4.7710 4.7710 68.24 90.00 90.00
Positions (direct):
Ag 0.0000 0.0000 0.0000
Te 0.5000 0.6941 0.6941
Pt 0.0000 0.4745 0.4745
Pt 0.5000 0.2496 0.2496

(3)
First-principles (PBE) data for a relaxed MnBAs2 crystal, as listed in Alexandria.

Properties
The calculation puts the magnetization at 0.03 μB/f.u. The formation enthalpy at 0 K comes out at 413.6 meV/atom. Its space group is I-42d (122). As for the calculated total energy: -5.87 eV per atom.

Lattice parameters (Å, degrees): 6.0031 6.0031 6.0031 127.81 127.81 76.93
Positions (direct):
Mn 0.0000 0.0000 0.0000
Mn 0.7500 0.2500 0.5000
B 0.2500 0.7500 0.5000
B 0.5000 0.5000 0.0000
As 0.1626 0.6250 0.0376
As 0.3750 0.4126 0.5376
As 0.5874 0.1250 0.9624
As 0.8750 0.8374 0.4624

(4)
First-principles (PBE) data for a relaxed Pr4ZnHg2 crystal, as listed in Alexandria.

Properties
The calculation puts the magnetization at 0.00 μB/f.u. The formation enthalpy at 0 K comes out at -270.5 meV/atom. Its space group is I4/mmm (139). As for the calculated total energy: -3.27 eV per atom.

Lattice parameters (Å, degrees): 8.3939 8.3939 8.3939 143.13 143.13 53.14
Positions (direct):
Pr 0.1169 0.6169 0.5000
Pr 0.3831 0.8831 0.5000
Pr 0.6169 0.1169 0.5000
Pr 0.8831 0.3831 0.5000
Zn 0.0000 0.0000 0.0000
Hg 0.2469 0.2469 0.0000
Hg 0.7531 0.7531 0.0000

(5)
First-principles (PBE) data for a relaxed YHgRh2 crystal, as listed in Alexandria.

Properties
The calculation puts the magnetization at 0.00 μB/f.u. The formation enthalpy at 0 K comes out at -408.3 meV/atom. Its space group is Pmmm (47). As for the calculated total energy: -5.78 eV per atom.

Lattice parameters (Å, degrees): 3.4040 3.4472 6.3735 90.00 90.00 90.00
Positions (direct):
Y 0.0000 0.0000 0.0000
Hg 0.0000 0.0000 0.5000
Rh 0.5000 0.5000 0.2588
Rh 0.5000 0.5000 0.7412

(6)
First-principles (PBE) data for a relaxed KAlAs crystal, as listed in Alexandria.

Properties
The calculation puts the magnetization at 0.00 μB/f.u. The formation enthalpy at 0 K comes out at 106.5 meV/atom. Its space group is F-43m (216). As for the calculated total energy: -3.06 eV per atom.

Lattice parameters (Å, degrees): 5.0076 5.0076 5.0076 60.00 60.00 60.00
Positions (direct):
K 0.0000 0.0000 0.0000
Al 0.5000 0.5000 0.5000
As 0.7500 0.7500 0.7500

(7)
First-principles (PBE) data for a relaxed Cs3ZrS4 crystal, as listed in Alexandria.

Properties
The calculation puts the magnetization at 1.13 μB/f.u. Its space group is C2 (5). As for the calculated total energy: -4.62 eV per atom. Its formation energy (no corrections) is -1.168 eV per atom.

Lattice parameters (Å, degrees): 7.7037 7.7037 8.4981 121.60 121.60 67.63
Positions (direct):
Cs 0.0000 0.0000 0.0000
Cs 0.2219 0.2853 0.7476
Cs 0.7147 0.7781 0.2524
Zr 0.4329 0.5671 0.5000
S 0.1824 0.6424 0.2077
S 0.3576 0.8176 0.7923
S 0.4275 0.2294 0.4485
S 0.7706 0.5725 0.5515

(8)
First-principles (PBE) data for a relaxed PrBeSiIr crystal, as listed in Alexandria.

Properties
The calculation puts the magnetization at 0.00 μB/f.u. Its space group is Imm2 (44). As for the calculated total energy: -5.99 eV per atom. Its formation energy (no corrections) is -0.288 eV per atom.

Lattice parameters (Å, degrees): 5.3122 5.3122 5.3122 134.50 133.73 66.91
Positions (direct):
Pr 0.0000 0.0000 0.0000
Be 0.7379 0.2379 0.5000
Si 0.3532 0.3532 0.0000
Ir 0.6171 0.6171 0.0000

(9)
First-principles (PBE) data for a relaxed YZnNO2 crystal, as listed in Alexandria.

Properties
The calculation puts the magnetization at 2.25 μB/f.u. Its space group is P4/mmm (123). As for the calculated total energy: -5.52 eV per atom. Its formation energy (no corrections) is -0.321 eV per atom.

Lattice parameters (Å, degrees): 4.3624 4.3624 4.5935 90.00 90.00 90.00
Positions (direct):
Y 0.0000 0.0000 0.0000
Zn 0.5000 0.5000 0.5000
N 0.0000 0.0000 0.5000
O 0.0000 0.5000 0.0000
O 0.5000 0.0000 0.0000

(10)
First-principles (PBE) data for a relaxed ScFe2Ir crystal, as listed in Alexandria.

Properties
The calculation puts the magnetization at 4.98 μB/f.u. The formation enthalpy at 0 K comes out at -244.5 meV/atom. Its space group is Pmmm (47). As for the calculated total energy: -8.27 eV per atom.

Lattice parameters (Å, degrees): 3.1372 4.2626 4.3140 90.00 90.00 90.00
Positions (direct):
Sc 0.0000 0.0000 0.0000
Fe 0.0000 0.5000 0.5000
Fe 0.5000 0.0000 0.5000
Ir 0.5000 0.5000 0.0000

(11)
First-principles (PBE) data for a relaxed TeW4Br crystal, as listed in Alexandria.

Properties
The calculation puts the magnetization at 0.00 μB/f.u. Its space group is F-43m (216). As for the calculated total energy: -8.16 eV per atom. Its formation energy (no corrections) is 1.277 eV per atom.

Lattice parameters (Å, degrees): 5.4689 5.4689 5.4689 60.00 60.00 60.00
Positions (direct):
Te 0.0000 0.0000 0.0000
W 0.1299 0.6234 0.6234
W 0.6234 0.1299 0.6234
W 0.6234 0.6234 0.1299
W 0.6234 0.6234 0.6234
Br 0.2500 0.2500 0.2500

(12)
First-principles (PBE) data for a relaxed KZnBi3 crystal, as listed in Alexandria.

Properties
The calculation puts the magnetization at 0.00 μB/f.u. The formation enthalpy at 0 K comes out at -71.1 meV/atom. Its space group is C2/c (15). As for the calculated total energy: -2.87 eV per atom.

Lattice parameters (Å, degrees): 9.3089 9.3089 8.5387 103.13 103.13 86.50
Positions (direct):
K 0.0290 0.9710 0.7500
K 0.3594 0.6406 0.2500
K 0.6406 0.3594 0.7500
K 0.9710 0.0290 0.2500
Zn 0.2639 0.5514 0.7302
Zn 0.4486 0.7361 0.7698
Zn 0.5514 0.2639 0.2302
Zn 0.7361 0.4486 0.2698
Bi 0.0188 0.3714 0.6055
Bi 0.0302 0.3666 0.0914
Bi 0.2879 0.2923 0.3943
Bi 0.2923 0.2879 0.8943
Bi 0.3666 0.0302 0.5914
Bi 0.3714 0.0188 0.1055
Bi 0.6286 0.9812 0.8945
Bi 0.6334 0.9698 0.4086
Bi 0.7077 0.7121 0.1057
Bi 0.7121 0.7077 0.6057
Bi 0.9698 0.6334 0.9086
Bi 0.9812 0.6286 0.3945